Density functional theory data (PBE) for a relaxed PrPaSnBi crystal.

Summary:
* mass density: 9.99 g cm⁻³
* formation energy from the elements: -0.296 eV per atom

```
data_PrPaSnBi
_chemical_formula_sum 'Pr4 Pa4 Sn4 Bi4'
_symmetry_space_group_name_H-M 'F -4 3 m'
_symmetry_Int_Tables_number 216
_symmetry_space_group_name_Hall 'F -4 2 3'
_cell_length_a 7.749
_cell_length_b 7.749
_cell_length_c 7.749
_cell_angle_alpha 90.00
_cell_angle_beta 90.00
_cell_angle_gamma 90.00
loop_
_atom_site_label
_atom_site_fract_x
_atom_site_fract_y
_atom_site_fract_z
Pr1 0.000 0.000 0.000
Pa1 0.000 0.000 0.500
Sn1 0.250 0.250 0.750
Bi1 0.250 0.250 0.250
```